No. 1
VASP calculation (PBE-GGA) on crystalline CaAgPt at its relaxed geometry.

```
CaAgPt
1.0
-2.146 -2.337 -4.174
4.449 -6.159 -2.132
-4.878 -5.418 2.249
Ca Pt Ag
4 4 4
direct
0.503 0.254 0.740
0.757 0.746 0.740
0.243 0.254 0.260
0.497 0.746 0.260
0.369 0.628 0.635
0.997 0.372 0.635
0.003 0.628 0.365
0.631 0.372 0.365
0.888 0.225 0.000
0.166 0.000 0.668
0.834 0.000 0.332
0.112 0.775 0.000
```

Calculated values
Its relative energy among the computed polymorphs is 63.2 kJ/mol of formula units. As for the total energy: -3.997 eV per atom. For the total magnetization, the calculation gives 0.0000 μB/atom. Its space-group type is No. 69. For the theoretical density, the calculation gives 8.1 g/cm3.



No. 2
VASP calculation (PBE-GGA) on crystalline Ca3Ag2Pt at its relaxed geometry.

```
Ca3Ag2Pt
1.0
-1.952 0.183 -4.712
-0.862 -7.537 -2.699
-6.843 -0.230 2.827
Ca Ag Pt
6 4 2
direct
0.500 0.000 0.761
0.500 0.000 0.239
0.828 0.344 0.769
0.828 0.344 0.231
0.172 0.656 0.769
0.172 0.656 0.231
0.666 0.669 0.500
0.000 0.000 0.000
0.000 0.000 0.500
0.334 0.331 0.500
0.340 0.319 0.000
0.660 0.681 0.000
```

Calculated values
As for the total energy: -3.486 eV per atom. For the total magnetization, the calculation gives 0.0000 μB/atom. Its space-group type is No. 65. For the theoretical density, the calculation gives 6.1 g/cm3.



No. 3
VASP calculation (PBE-GGA) on crystalline Ca6AgPt3 at its relaxed geometry.

```
Ca6AgPt3
1.0
4.436 0.000 0.000
0.000 9.863 -3.857
0.000 0.115 12.493
Ca Pt Ag
12 6 2
direct
0.750 0.472 0.607
0.250 0.159 0.906
0.250 0.581 0.915
0.750 0.419 0.085
0.750 0.841 0.094
0.750 0.734 0.323
0.250 0.161 0.195
0.250 0.528 0.393
0.250 0.886 0.570
0.750 0.839 0.805
0.750 0.114 0.430
0.250 0.266 0.677
0.250 0.623 0.170
0.750 0.703 0.539
0.750 0.377 0.830
0.250 0.903 0.969
0.250 0.297 0.461
0.750 0.097 0.031
0.250 0.913 0.290
0.750 0.087 0.710
```

Calculated values
As for the total energy: -3.956 eV per atom. For the total magnetization, the calculation gives 0.0000 μB/atom. Its space-group type is No. 11. For the theoretical density, the calculation gives 5.7 g/cm3.



No. 4
VASP calculation (PBE-GGA) on crystalline Ca8Ag2Pt at its relaxed geometry.

```
Ca8Ag2Pt
1.0
-3.782 -3.580 -0.814
-0.430 -1.149 7.050
-4.229 8.704 -1.564
Ca Ag Pt
8 2 1
direct
0.209 0.312 0.419
0.410 0.578 0.820
0.590 0.422 0.180
0.791 0.688 0.581
0.029 0.799 0.057
0.344 0.036 0.689
0.656 0.964 0.311
0.971 0.201 0.943
0.185 0.718 0.370
0.815 0.282 0.630
0.500 0.000 0.000
```

Calculated values
Its relative energy among the computed polymorphs is 0.0 kJ/mol of formula units. As for the total energy: -2.834 eV per atom. For the total magnetization, the calculation gives 0.0000 μB/atom. Its space-group type is No. 12. For the theoretical density, the calculation gives 3.6 g/cm3.



No. 5
VASP calculation (PBE-GGA) on crystalline CaAgPt2 at its relaxed geometry.

```
CaAgPt2
1.0
4.069 0.000 0.000
0.000 4.069 0.000
2.035 2.035 9.648
Pt Ag Ca
4 2 2
direct
0.105 0.625 0.250
0.875 0.895 0.750
0.375 0.355 0.750
0.645 0.125 0.250
0.750 0.250 0.500
0.000 0.000 0.000
0.500 0.500 0.000
0.250 0.750 0.500
```

Calculated values
As for the total energy: -4.405 eV per atom. For the total magnetization, the calculation gives 0.0000 μB/atom. Its space-group type is No. 122. For the theoretical density, the calculation gives 11.2 g/cm3.



No. 6
VASP calculation (PBE-GGA) on crystalline CaAgPt2 at its relaxed geometry.

```
CaAgPt2
1.0
5.084 0.006 0.015
4.160 2.922 0.015
0.971 0.307 4.934
Ca Pt Ag
1 2 1
direct
0.250 0.250 0.250
0.003 0.003 0.987
0.497 0.497 0.513
0.750 0.750 0.750
```

Calculated values
As for the total energy: -4.563 eV per atom. For the total magnetization, the calculation gives 0.0000 μB/atom. Its space-group type is No. 12. For the theoretical density, the calculation gives 12.2 g/cm3.



No. 7
VASP calculation (PBE-GGA) on crystalline Ca4AgPt at its relaxed geometry.

```
Ca4AgPt
1.0
-3.589 -4.878 1.251
-5.084 -1.041 -3.363
-0.191 -4.782 -3.915
Pt Ca Ag
1 4 1
direct
0.750 0.750 0.750
0.376 0.376 0.376
0.873 0.376 0.376
0.376 0.873 0.376
0.376 0.376 0.873
0.000 0.000 0.000
```

Calculated values
Its relative energy among the computed polymorphs is 540.3 kJ/mol of formula units. As for the total energy: -2.379 eV per atom. For the total magnetization, the calculation gives 0.0001 μB/atom. Its space-group type is No. 216. For the theoretical density, the calculation gives 4.6 g/cm3.



No. 8
VASP calculation (PBE-GGA) on crystalline CaAgPt2 at its relaxed geometry.

```
CaAgPt2
1.0
-0.473 -1.344 5.318
2.627 -1.776 4.501
1.281 3.553 2.981
Ag Pt Ca
1 2 1
direct
0.485 0.485 0.566
0.016 0.016 0.048
0.740 0.740 0.692
0.259 0.259 0.193
```

Calculated values
As for the total energy: -4.610 eV per atom. For the total magnetization, the calculation gives 0.0000 μB/atom. Its space-group type is No. 8. For the theoretical density, the calculation gives 12.0 g/cm3.



No. 9
VASP calculation (PBE-GGA) on crystalline CaAgPt2 at its relaxed geometry.

```
CaAgPt2
1.0
-4.924 2.081 -4.010
1.960 -4.532 -0.395
-2.813 -1.248 0.398
Ag Ca Pt
1 1 2
direct
0.000 0.500 0.500
0.500 0.500 0.000
0.000 0.000 0.000
0.500 0.000 0.500
```

Calculated values
As for the total energy: -4.638 eV per atom. For the total magnetization, the calculation gives 0.0000 μB/atom. Its space-group type is No. 65. For the theoretical density, the calculation gives 12.3 g/cm3.



No. 10
VASP calculation (PBE-GGA) on crystalline CaAg3Pt at its relaxed geometry.

```
CaAg3Pt
1.0
5.114 0.000 0.000
0.000 5.114 0.000
0.000 0.000 5.114
Ag Ca Pt
3 1 1
direct
0.000 0.000 0.500
0.000 0.500 0.000
0.500 0.000 0.000
0.500 0.500 0.500
0.000 0.000 0.000
```

Calculated values
Its relative energy among the computed polymorphs is 0.0 kJ/mol of formula units. As for the total energy: -3.145 eV per atom. For the total magnetization, the calculation gives 0.0000 μB/atom. Its space-group type is No. 221. For the theoretical density, the calculation gives 6.9 g/cm3.



No. 11
VASP calculation (PBE-GGA) on crystalline CaAgPt2 at its relaxed geometry.

```
CaAgPt2
1.0
3.563 0.000 0.000
0.000 3.563 0.000
0.000 0.000 6.015
Ca Ag Pt
1 1 2
direct
0.500 0.500 0.763
0.000 0.000 0.472
0.500 0.500 0.247
0.000 0.000 0.018
```

Calculated values
As for the total energy: -4.470 eV per atom. For the total magnetization, the calculation gives 0.0000 μB/atom. Its space-group type is No. 99. For the theoretical density, the calculation gives 11.7 g/cm3.



No. 12
VASP calculation (PBE-GGA) on crystalline Ca4AgPt at its relaxed geometry.

```
Ca4AgPt
1.0
-3.120 -5.822 -1.064
8.090 -1.102 -1.557
-1.224 2.155 7.934
Ca Pt Ag
8 2 2
direct
0.221 0.354 0.231
0.279 0.769 0.646
0.779 0.646 0.769
0.911 0.055 0.709
0.721 0.231 0.354
0.589 0.291 0.945
0.411 0.709 0.055
0.089 0.945 0.291
0.750 0.002 0.998
0.250 0.998 0.002
0.250 0.363 0.637
0.750 0.637 0.363
```

Calculated values
Its relative energy among the computed polymorphs is 0.0 kJ/mol of formula units. As for the total energy: -3.312 eV per atom. For the total magnetization, the calculation gives 0.0000 μB/atom. Its space-group type is No. 15. For the theoretical density, the calculation gives 4.2 g/cm3.